(1)
Ni15As after structural relaxation, computed with PBE.

a b c (Å): 6.9549 2.5032 33.4143
angles (deg): 90.00 90.00 90.00
Sites, in units of the cell vectors:
Ni 0.1238 0.2500 0.2422
Ni 0.1252 0.2500 0.0186
Ni 0.1253 0.2500 0.0924
Ni 0.1247 0.2500 0.1664
Ni 0.1250 0.2500 0.7967
Ni 0.1249 0.2500 0.8706
Ni 0.1250 0.2500 0.9446
Ni 0.3738 0.7500 0.7577
Ni 0.3750 0.7500 0.0555
Ni 0.3749 0.7500 0.1297
Ni 0.3750 0.7500 0.2034
Ni 0.3750 0.7500 0.2753
Ni 0.3747 0.7500 0.8336
Ni 0.3753 0.7500 0.9076
Ni 0.3752 0.7500 0.9814
Ni 0.6248 0.2500 0.0186
Ni 0.6247 0.2500 0.0924
Ni 0.6253 0.2500 0.1664
Ni 0.6250 0.2500 0.7247
Ni 0.6250 0.2500 0.7966
Ni 0.6251 0.2500 0.8703
Ni 0.6250 0.2500 0.9445
Ni 0.6262 0.2500 0.2423
Ni 0.8750 0.7500 0.0554
Ni 0.8751 0.7500 0.1294
Ni 0.8750 0.7500 0.2033
Ni 0.8753 0.7500 0.8336
Ni 0.8747 0.7500 0.9076
Ni 0.8748 0.7500 0.9814
Ni 0.8762 0.7500 0.7578
As 0.1250 0.2500 0.7221
As 0.8750 0.7500 0.2779

Values from the calculation:
SG = P2_1/m (11)
M_tot = 3.90 μB/f.u.
Raw total energy = -5.440 eV/atom

=====

(2)
LuTePt2 after structural relaxation, computed with PBE.

a b c (Å): 4.8153 4.8153 4.8153
angles (deg): 60.00 60.00 60.00
Sites, in units of the cell vectors:
Lu 0.0000 0.0000 0.0000
Te 0.7500 0.7500 0.7500
Pt 0.2500 0.2500 0.2500
Pt 0.5000 0.5000 0.5000

Values from the calculation:
SG = F-43m (216)
M_tot = 0.00 μB/f.u.
Raw total energy = -5.464 eV/atom

=====

(3)
BaCd2HgGe after structural relaxation, computed with PBE.

a b c (Å): 4.7377 4.7377 6.8966
angles (deg): 110.06 110.06 90.06
Sites, in units of the cell vectors:
Ba 0.0000 0.0000 0.0000
Cd 0.2606 0.7537 0.5157
Cd 0.7537 0.2606 0.5157
Hg 0.6175 0.6175 0.2271
Ge 0.3834 0.3834 0.7755

Values from the calculation:
SG = Cm (8)
Raw total energy = -2.099 eV/atom

=====

(4)
SiMoIr after structural relaxation, computed with PBE.

a b c (Å): 6.2177 3.8936 7.1363
angles (deg): 90.00 90.00 90.00
Sites, in units of the cell vectors:
Si 0.2399 0.2500 0.1215
Si 0.2601 0.7500 0.6215
Si 0.7399 0.2500 0.3785
Si 0.7601 0.7500 0.8785
Mo 0.0269 0.7500 0.3306
Mo 0.4731 0.2500 0.8306
Mo 0.5269 0.7500 0.1694
Mo 0.9731 0.2500 0.6694
Ir 0.1460 0.7500 0.9367
Ir 0.3540 0.2500 0.4367
Ir 0.6460 0.7500 0.5633
Ir 0.8540 0.2500 0.0633

Values from the calculation:
SG = Pnma (62)
M_tot = 0.12 μB/f.u.
Raw total energy = -8.899 eV/atom